No. 1
Compound: Pr4ErHg
Source: Alexandria
Functional: PBE-GGA
Structure: optimized geometry

a = 9.0767 Å, b = 14.3102 Å, c = 6.5271 Å
α = 90.00°, β = 109.35°, γ = 90.00°
Last column: nearest neighbours and their distance in Å.
Space group C2/c (No. 15)
Symmetry-distinct sites (fractional):
Pr1 0.0999 0.1895 0.0494 (multiplicity 8)  2 Hg 3.27-3.29, 4 Pr 3.46-3.65, 1 Er 3.63
Pr2 0.2146 0.3873 0.3752 (multiplicity 8)  2 Hg 3.34-3.36, 2 Er 3.47-3.61, 4 Pr 3.48-3.74
Er1 0.0000 0.4076 0.7500 (multiplicity 4)  8 Pr 3.47-3.70
Hg1 0.0000 0.0019 0.7500 (multiplicity 4)  2 Hg 3.26, 8 Pr 3.27-3.36

Density of states at the Fermi level   1.396 states/eV per atom
Total DFT energy (no corrections)   -4.048 eV/atom
DFT formation energy   -0.051 eV per atom
Distance to the lowest polymorph of the same formula   2.145 kcal/mol of atoms
Volume   33.33 Å³ per atom
Crystal system   monoclinic

---

No. 2
Compound: PrEr2Hg
Source: Alexandria
Functional: PBE-GGA
Structure: optimized geometry

a = 3.6263 Å, b = 3.6263 Å, c = 31.7503 Å
α = 90.00°, β = 90.00°, γ = 120.00°
Last column: nearest neighbours and their distance in Å.
Space group R-3m (No. 166, hexagonal axes)
Symmetry-distinct sites (fractional):
Pr1 0.0000 0.0000 0.0000 (multiplicity 3)  6 Er 3.60, 6 Pr 3.63
Er1 0.0000 0.0000 0.2409 (multiplicity 6)  3 Hg 3.15
Hg1 0.0000 0.0000 0.5000 (multiplicity 3)  6 Er 3.15

Density of states at the Fermi level   0.842 states/eV per atom
Total DFT energy (no corrections)   -3.725 eV/atom
DFT formation energy   -0.174 eV per atom
Distance to the lowest polymorph of the same formula   1.376 kcal/mol of atoms
Volume   30.13 Å³ per atom
Crystal system   trigonal

---

No. 3
Compound: PrEr4Hg
Source: Alexandria
Functional: PBE-GGA
Structure: optimized geometry

a = 8.7376 Å, b = 13.9309 Å, c = 6.3175 Å
α = 90.00°, β = 109.26°, γ = 90.00°
Last column: nearest neighbours and their distance in Å.
Space group C2/c (No. 15)
Symmetry-distinct sites (fractional):
Pr1 0.0000 0.0979 0.2500 (multiplicity 4)  10 Er 3.49-3.76
Er1 0.0994 0.3129 0.5470 (multiplicity 8)  2 Hg 3.16, 3 Er 3.29-3.37, 2 Pr 3.49-3.53
Er2 0.2195 0.1163 0.8693 (multiplicity 8)  2 Hg 3.22-3.25, 2 Er 3.29-3.37, 2 Pr 3.49-3.55
Hg1 0.0000 0.4996 0.2500 (multiplicity 4)  8 Er 3.16-3.25, 2 Hg 3.16

Density of states at the Fermi level   1.363 states/eV per atom
Total DFT energy (no corrections)   -3.937 eV/atom
DFT formation energy   -0.048 eV per atom
Distance to the lowest polymorph of the same formula   2.077 kcal/mol of atoms
Volume   30.25 Å³ per atom
Crystal system   monoclinic

---

No. 4
Compound: Pr7ErHg4
Source: Alexandria
Functional: PBE-GGA
Structure: optimized geometry

a = 15.1059 Å, b = 5.8938 Å, c = 10.1718 Å
α = 90.00°, β = 123.17°, γ = 90.00°
Last column: nearest neighbours and their distance in Å.
Space group C2/m (No. 12)
Symmetry-distinct sites (fractional):
Pr1 0.0000 0.0000 0.0000 (multiplicity 2)  2 Er 2.95, 4 Hg 3.08-3.20
Pr2 0.0620 0.5000 0.3980 (multiplicity 4)  3 Hg 3.20-3.27, 2 Pr 3.47-3.58
Pr3 0.2155 0.5000 0.8982 (multiplicity 4)  6 Pr 3.42-3.83, 4 Hg 3.48-3.66
Pr4 0.2322 0.0000 0.6851 (multiplicity 4)  4 Hg 3.07-3.26
Er1 0.0000 0.5000 0.0000 (multiplicity 2)  2 Pr 2.95
Hg1 0.0459 0.0000 0.7277 (multiplicity 4)  4 Pr 3.07-3.27, 1 Hg 3.20
Hg2 0.1885 0.0000 0.3447 (multiplicity 4)  5 Pr 3.08-3.26, 1 Hg 3.20

Density of states at the Fermi level   1.164 states/eV per atom
Total DFT energy (no corrections)   -3.404 eV/atom
DFT formation energy   -0.135 eV per atom
Volume   31.58 Å³ per atom
Crystal system   monoclinic

---

No. 5
Compound: PrErHg4
Source: Alexandria
Functional: PBE-GGA
Structure: optimized geometry

a = 8.4799 Å, b = 8.4799 Å, c = 8.4799 Å
α = 90.00°, β = 90.00°, γ = 90.00°
Last column: nearest neighbours and their distance in Å.
Space group F-43m (No. 216)
Symmetry-distinct sites (fractional):
Pr1 0.0000 0.0000 0.0000 (multiplicity 4)  12 Hg 3.52, 4 Er 3.67
Er1 0.2500 0.2500 0.7500 (multiplicity 4)  12 Hg 3.52, 4 Pr 3.67
Hg1 0.1249 0.1249 0.3751 (multiplicity 16)  6 Hg 3.00

Density of states at the Fermi level   0.634 states/eV per atom
Total DFT energy (no corrections)   -1.981 eV/atom
DFT formation energy   -0.223 eV per atom
Distance to the lowest polymorph of the same formula   2.868 kcal/mol of atoms
Volume   25.41 Å³ per atom
Crystal system   cubic

---

No. 6
Compound: Pr12ErHg6
Source: Alexandria
Functional: PBE-GGA
Structure: optimized geometry

a = 15.3927 Å, b = 15.3927 Å, c = 8.6611 Å
α = 90.00°, β = 90.00°, γ = 120.00°
Last column: nearest neighbours and their distance in Å.
Space group R-3 (No. 148, hexagonal axes)
Symmetry-distinct sites (fractional):
Pr1 0.0065 0.1458 0.3370 (multiplicity 18)  3 Hg 3.22-3.46, 4 Pr 3.44-3.58
Pr2 0.0640 0.4895 0.6572 (multiplicity 18)  4 Hg 3.27-3.56, 5 Pr 3.44-3.65, 1 Er 3.65
Er1 0.0000 0.0000 0.0000 (multiplicity 3)  12 Pr 3.65
Hg1 0.0196 0.7522 0.3401 (multiplicity 18)  7 Pr 3.22-3.56, 2 Hg 3.55

Density of states at the Fermi level   1.409 states/eV per atom
Total DFT energy (no corrections)   -3.535 eV/atom
DFT formation energy   -0.181 eV per atom
Volume   31.18 Å³ per atom
Crystal system   trigonal